# 1
A plane-wave DFT calculation with PBE-GGA was carried out for a geometry-optimized VFe2NiN structure.

Computed properties:
* E_tot: -8.241 eV/atom
* M_tot: 3.3 Bohr magnetons per cell

a b c (Å): 3.7520 3.7520 3.8632
angles (deg): 90.00 90.00 90.00
Each line ends with the local moment (μB).
Element x y z (fractional)
Ni (0.5000, 0.5000, 0.5000)  0.25
N (0.0000, 0.0000, 0.0000)  0.03
Fe (0.0000, 0.5000, 0.0000)  1.97
Fe (0.5000, 0.0000, 0.0000)  1.97
V (0.0000, 0.0000, 0.5000)  -0.79



# 2
A plane-wave DFT calculation with PBE-GGA was carried out for a geometry-optimized RbAgBr3 structure.

Computed properties:
* E_tot: -2.539 eV/atom
* M_tot: 0.0 Bohr magnetons per cell

a b c (Å): 8.6602 8.6602 8.6602
angles (deg): 50.56 50.56 50.56
Element x y z (fractional)
Br (0.5198, 0.0718, 0.6391)
Br (0.0718, 0.6391, 0.5198)
Br (0.3609, 0.4802, 0.9282)
Br (0.9282, 0.3609, 0.4802)
Br (0.4802, 0.9282, 0.3609)
Br (0.6391, 0.5198, 0.0718)
Rb (0.1252, 0.1252, 0.1252)
Rb (0.8748, 0.8748, 0.8748)
Ag (0.3352, 0.3352, 0.3352)
Ag (0.6648, 0.6648, 0.6648)



# 3
A plane-wave DFT calculation with PBE-GGA was carried out for a geometry-optimized La4HoTe5 structure.

Computed properties:
* energy relative to the lowest polymorph listed for this composition: 8 meV/atom
* M_tot: 0.0 Bohr magnetons per cell

a b c (Å): 4.5318 4.5318 16.3758
angles (deg): 97.95 97.95 90.00
Element x y z (fractional)
La (0.3987, 0.3987, 0.7973)
La (0.8042, 0.8042, 0.6084)
La (0.1958, 0.1958, 0.3916)
La (0.6013, 0.6013, 0.2027)
Ho (0.0000, 0.0000, 0.0000)
Te (0.0950, 0.0950, 0.1901)
Te (0.5000, 0.5000, 0.0000)
Te (0.9050, 0.9050, 0.8099)
Te (0.2977, 0.2977, 0.5953)
Te (0.7023, 0.7023, 0.4047)



# 4
A plane-wave DFT calculation with PBE-GGA was carried out for a geometry-optimized TaBe2Fe structure.

Computed properties:
* formation enthalpy at 0 K: -0.0106 eV/atom
* energy relative to the lowest polymorph listed for this composition: 76 meV/atom
* M_tot: 0.7 Bohr magnetons per cell

a b c (Å): 4.3716 4.3716 3.9304
angles (deg): 63.31 63.31 44.43
Each line ends with the local moment (μB).
Element x y z (fractional)
Be (0.0261, 0.0261, 0.9738)  0.00
Be (0.7214, 0.7214, 0.7786)  0.00
Fe (0.4940, 0.4940, 0.5063)  0.81
Ta (0.2586, 0.2586, 0.2414)  -0.10



# 5
A plane-wave DFT calculation with PBE-GGA was carried out for a geometry-optimized Ba3FeW structure.

Computed properties:
* formation enthalpy at 0 K: 1.4054 eV/atom
* energy relative to the lowest polymorph listed for this composition: 0 meV/atom
* M_tot: 3.1 Bohr magnetons per cell

a b c (Å): 5.9810 5.9810 5.9810
angles (deg): 90.00 90.00 90.00
Each line ends with the local moment (μB).
Element x y z (fractional)
Ba (0.0000, 0.5000, 0.0000)  -0.02
Ba (0.0000, 0.0000, 0.5000)  -0.02
Ba (0.5000, 0.0000, 0.0000)  -0.02
W (0.0000, 0.0000, 0.0000)  0.05
Fe (0.5000, 0.5000, 0.5000)  3.12



# 6
A plane-wave DFT calculation with PBE-GGA was carried out for a geometry-optimized Hg2MoAu structure.

Computed properties:
* formation enthalpy at 0 K: 0.4939 eV/atom
* energy relative to the lowest polymorph listed for this composition: 137 meV/atom
* M_tot: 0.0 Bohr magnetons per cell

a b c (Å): 4.2942 4.2797 4.1513
angles (deg): 90.00 90.00 90.00
Element x y z (fractional)
Au (0.0000, 0.5000, 0.5000)
Hg (0.0000, 0.0000, 0.0000)
Hg (0.5000, 0.5000, 0.0000)
Mo (0.5000, 0.0000, 0.5000)